1.
# Er2BeNi6Ge

Crystalline Er2BeNi6Ge at its relaxed geometry (PBE, Alexandria).

## Properties
Energy   -5.415 eV/atom

abc: 5.9659 5.9659 5.9659
angles: 60.00 60.00 60.00
Closest atoms and distances in Å follow each position.
Element x y z (fractional)
Er  0.2500  0.2500  0.2500  12 Ni 2.99
Er  0.7500  0.7500  0.7500  12 Ni 2.99
Be  0.0000  0.0000  0.0000  6 Ni 1.98
Ni  0.2344  0.2344  0.7656  1 Be 1.98
Ni  0.2344  0.7656  0.2344  1 Be 1.98
Ni  0.2344  0.7656  0.7656  1 Be 1.98
Ni  0.7656  0.2344  0.2344  1 Be 1.98
Ni  0.7656  0.2344  0.7656  1 Be 1.98
Ni  0.7656  0.7656  0.2344  1 Be 1.98
Ge  0.5000  0.5000  0.5000  6 Ni 2.24



2.
# Zr2SiNi

Crystalline Zr2SiNi at its relaxed geometry (PBE, Alexandria).

## Properties
Formation energy (no corrections)   51 meV/atom

abc: 4.5797 4.5797 4.5797
angles: 60.00 60.00 60.00
Closest atoms and distances in Å follow each position.
Element x y z (fractional)
Zr  0.0000  0.0000  0.0000  4 Si 2.80, 4 Zr 2.80
Zr  0.2500  0.2500  0.2500  4 Zr 2.80, 4 Ni 2.80
Si  0.7500  0.7500  0.7500  4 Zr 2.80, 4 Ni 2.80
Ni  0.5000  0.5000  0.5000  4 Si 2.80, 4 Zr 2.80



3.
# Th2PdSe

Crystalline Th2PdSe at its relaxed geometry (PBE, Alexandria).

## Properties
Formation energy (no corrections)   -1005 meV/atom
Energy relative to the lowest polymorph listed for this composition   0.068 eV per atom

abc: 7.9728 7.9728 7.9728
angles: 29.58 29.58 29.58
Closest atoms and distances in Å follow each position.
Element x y z (fractional)
Th  0.0000  0.0000  0.0000  3 Pd 2.92, 3 Se 3.11
Th  0.1790  0.1790  0.1790  3 Pd 2.96, 3 Se 3.12
Pd  0.5909  0.5909  0.5909  6 Th 2.92-2.96
Se  0.4226  0.4226  0.4226  6 Th 3.11-3.12



4.
# KLaAs2Se

Crystalline KLaAs2Se at its relaxed geometry (PBE, Alexandria).

## Properties
Formation energy (no corrections)   -299 meV/atom
Energy relative to the lowest polymorph listed for this composition   0.000 eV per atom

abc: 5.7989 5.7989 5.8123
angles: 90.00 90.00 90.00
Closest atoms and distances in Å follow each position.
Element x y z (fractional)
K  0.0000  0.0000  0.0000  4 Se 4.10, 8 As 4.11
La  0.5000  0.5000  0.5000  4 As 2.90, 2 Se 2.91
As  0.0000  0.5000  0.5000  2 La 2.90
As  0.5000  0.0000  0.5000  2 La 2.90
Se  0.5000  0.5000  0.0000  2 La 2.91



5.
# SiHg2Rh

Crystalline SiHg2Rh at its relaxed geometry (PBE, Alexandria).

## Properties
Formation energy (no corrections)   332 meV/atom

abc: 4.9544 4.9544 3.2524
angles: 90.00 90.00 113.44
Closest atoms and distances in Å follow each position.
Element x y z (fractional)
Si  0.0000  0.0000  0.0000  2 Rh 2.72, 8 Hg 2.96
Hg  0.0000  0.5000  0.5000  2 Hg 2.72, 4 Rh 2.96, 4 Si 2.96
Hg  0.5000  0.0000  0.5000  2 Hg 2.72, 4 Rh 2.96, 4 Si 2.96
Rh  0.5000  0.5000  0.0000  2 Si 2.72, 8 Hg 2.96



6.
# TlPdF3

Crystalline TlPdF3 at its relaxed geometry (PBE, Alexandria).

## Properties
Formation energy (no corrections)   -959 meV/atom
Energy relative to the lowest polymorph listed for this composition   0.482 eV per atom

abc: 3.8194 3.8194 5.4427
angles: 90.00 90.00 90.00
Closest atoms and distances in Å follow each position.
Element x y z (fractional)
Tl  0.0000  0.0000  0.0000  5 F 2.22-2.23
Pd  0.5000  0.5000  0.5948  8 F 2.70-2.83
F  0.0000  0.0000  0.5919  1 Tl 2.22
F  0.0000  0.5000  0.2113  2 Tl 2.23
F  0.5000  0.0000  0.2113  2 Tl 2.23



7.
# Pr4AgHg5

Crystalline Pr4AgHg5 at its relaxed geometry (PBE, Alexandria).

## Properties
Energy relative to the lowest polymorph listed for this composition   0.027 eV per atom

abc: 3.8148 3.8148 18.6504
angles: 90.00 90.00 90.00
Closest atoms and distances in Å follow each position.
Element x y z (fractional)
Pr  0.0000  0.0000  0.1057  8 Hg 3.31-3.34
Pr  0.0000  0.0000  0.3155  8 Hg 3.29-3.35, 1 Ag 3.44
Pr  0.0000  0.0000  0.6845  8 Hg 3.29-3.35, 1 Ag 3.44
Pr  0.0000  0.0000  0.8943  8 Hg 3.31-3.34
Ag  0.0000  0.0000  0.5000  8 Hg 3.11, 2 Pr 3.44
Hg  0.5000  0.5000  0.0000  8 Pr 3.34
Hg  0.5000  0.5000  0.2086  8 Pr 3.31-3.35
Hg  0.5000  0.5000  0.4167  1 Hg 3.11, 4 Ag 3.11, 4 Pr 3.29
Hg  0.5000  0.5000  0.5833  1 Hg 3.11, 4 Ag 3.11, 4 Pr 3.29
Hg  0.5000  0.5000  0.7914  8 Pr 3.31-3.35



8.
# YBr2

Crystalline YBr2 at its relaxed geometry (PBE, Alexandria).

## Properties
Formation energy (no corrections)   -1561 meV/atom

abc: 7.5850 7.5850 7.5850
angles: 152.94 152.94 38.65
Closest atoms and distances in Å follow each position.
Element x y z (fractional)
Y  0.0000  0.0000  0.0000  8 Br 3.03
Br  0.3811  0.3811  0.0000  4 Y 3.03
Br  0.6189  0.6189  0.0000  4 Y 3.03